(1)
DFT (PBE-GGA) results for a relaxed structure of Ho5Th3Cd12.

Structure (POSCAR):
```
Ho5Th3Cd12
1.0
-13.4342 5.3439 -4.9761
7.2264 -7.0882 -11.4601
-2.3625 -9.8844 11.4242
Th Ho Cd
12 20 48
Cartesian
-7.6610 0.1143 -6.6016
-6.6304 -1.8758 -11.5211
-1.0946 -9.4899 -3.3210
-3.3412 -3.2567 1.6075
-11.4422 1.3188 -2.9306
-1.1119 -4.8972 -6.1725
-7.4583 -6.7315 1.1605
2.8720 -12.9475 -2.0814
-5.2291 -8.3720 -6.6195
-7.4757 -2.1388 -1.6910
-1.9398 -9.7529 6.5091
-0.9092 -11.7430 1.5896
0.4400 -4.4612 -2.0635
3.6132 -3.5441 -5.7300
0.0000 0.0000 0.0000
-3.5265 -1.0036 -3.3030
-7.8983 -2.2703 3.2240
-3.1039 -0.8721 -8.2181
2.8546 -8.3548 -4.9330
-11.2395 -5.5270 4.8316
-6.4451 -4.1288 -6.6106
-5.9064 -6.2954 5.2696
-2.6639 -5.3333 -10.2816
-4.2851 -5.8143 -2.5060
-6.7171 2.6720 -2.4881
-1.1812 -4.9422 5.7121
-2.1252 -7.4999 1.5986
2.6692 -6.1017 -9.8436
2.4320 -8.4863 -0.0179
-11.4248 -3.2739 -0.0790
-5.0437 -10.6251 -1.7090
-9.0103 -7.1675 -2.9485
-8.8658 2.1592 -4.4964
-1.4939 -6.3866 -3.3975
-10.5909 -0.2399 -5.5594
-6.3595 -0.0063 -3.7578
-4.0973 -8.5414 -3.7064
-8.7043 -0.6663 -9.4473
-0.0101 -7.7999 -5.7771
5.2707 -7.5546 -9.2530
-2.5753 -10.0073 -6.0294
-5.9362 -1.7820 -8.4707
-8.1177 -2.4150 -4.7418
-4.8182 -2.7253 -13.9827
1.9400 -9.9960 -2.5462
-1.8841 -1.9020 -5.6952
4.7587 -9.6131 -6.9375
-5.9460 -4.4934 2.8245
-0.4780 -2.9213 0.3886
-1.2183 -3.1140 -8.7943
-5.3256 -4.7192 -11.6103
0.8887 -2.9530 -4.6618
0.1436 -12.3521 -3.5868
-4.0703 -5.6478 -5.4791
-7.6562 -6.6706 -7.7506
-10.0870 -7.3894 2.7267
-4.5000 -5.9809 0.4671
-0.9141 -4.9581 2.7386
1.5167 -4.2393 -7.7387
-3.2447 -6.9095 6.5983
-8.7138 0.7234 -1.4252
-9.4590 -8.6757 -0.3502
-7.3519 -8.5147 3.7823
-2.6242 -7.1353 -7.8365
-8.0922 -8.7074 -5.4006
-13.3290 -2.0156 1.9255
-10.5102 -1.6327 -2.4658
-3.7520 -8.9034 8.9707
-6.6861 -9.7267 0.6832
-5.9949 -1.6214 1.0174
-2.6341 -9.8467 3.4587
-0.4526 -9.2137 -0.2702
-13.8410 -4.0741 4.2410
-8.5601 -3.8288 0.7651
-2.2108 -11.6224 -1.2542
0.1341 -10.9624 4.4353
-4.4729 -3.0873 -1.3056
2.0207 -11.3888 0.5474
-7.0763 -5.2421 -1.6145
0.2956 -13.7878 -0.5156
```

Its space group is Ia-3d. The formation energy comes out at 9.77 kcal/mol of atoms. The volume comes out at 688 Å³/f.u. Its total DFT energy (no corrections) is -190.618 eV per cell.

=====

(2)
DFT (PBE-GGA) results for a relaxed structure of Sr5Ga.

Structure (POSCAR):
```
Sr5Ga
1.0
-2.5087 -1.2648 5.1718
5.1262 -0.0788 2.4673
-3.2009 7.7283 0.3373
Sr Ga
5 1
Cartesian
0.8682 4.6380 4.9044
2.3778 2.1942 1.6900
1.3087 -0.6718 3.8195
-0.4526 5.4552 1.1146
-1.4517 1.7466 3.0720
0.0000 0.0000 0.0000
```

The energy relative to the lowest polymorph listed for this composition is 104 meV/atom. Its space group is Cmmm. The formation energy comes out at -0.29 kcal/mol of atoms. The volume comes out at 264 Å³/f.u. Its total DFT energy (no corrections) is -11.511 eV per cell.

=====

(3)
DFT (PBE-GGA) results for a relaxed structure of ReP2Se.

Structure (POSCAR):
```
ReP2Se
1.0
-0.0519 -5.4533 -1.6045
0.9538 -1.5901 5.3737
-4.7371 -3.7255 2.7452
Re Se P
2 2 4
Cartesian
0.0000 0.0000 0.0000
-2.1691 -6.3502 1.5127
0.4509 -3.5217 1.8846
-1.6662 -4.4187 5.0018
-1.0999 -4.7854 0.2826
-0.5923 -2.3599 3.9170
-3.2578 -5.3634 3.2290
-2.7205 -9.0291 5.6004
```

Its space group is I-42d. The calculation puts the raw formation energy at 31.5 kJ/mol of atoms. The volume comes out at 85 Å³/f.u. Its total DFT energy (no corrections) is -50.894 eV per cell.

=====

(4)
DFT (PBE-GGA) results for a relaxed structure of SrYZr2.

Structure (POSCAR):
```
SrYZr2
1.0
3.5587 0.0000 0.0000
0.0000 4.1597 0.0000
0.0000 0.0000 8.5132
Sr Y Zr
1 1 2
Cartesian
0.0000 0.0000 3.9928
1.7794 2.0798 6.8872
0.0000 0.0000 0.2944
1.7794 2.0798 1.5954
```

The energy relative to the lowest polymorph listed for this composition is 0 meV/atom. Its space group is Pmm2. The formation energy comes out at 5.30 kcal/mol of atoms. The volume comes out at 126 Å³/f.u. Its total DFT energy (no corrections) is -24.323 eV per cell.

=====

(5)
DFT (PBE-GGA) results for a relaxed structure of Y2TmSc3.

Structure (POSCAR):
```
Y2TmSc3
1.0
8.0295 0.0000 4.6012
1.3642 9.3251 6.9262
1.0000 3.6633 7.5616
Y Tm Sc
4 2 6
Cartesian
7.6238 4.8573 9.1870
4.9334 1.6369 4.5752
5.4603 11.3516 14.5137
2.7699 8.1311 9.9020
1.1821 6.4942 7.2439
0.0000 0.0000 0.0000
4.2282 5.0788 9.2004
6.1655 7.9097 9.8885
3.0603 11.1880 11.6454
7.1112 8.2947 13.8827
7.3335 1.8005 7.4436
3.2825 4.6938 5.2062
```

The energy relative to the lowest polymorph listed for this composition is 0 meV/atom. Its space group is Imma. The formation energy comes out at 4.22 kcal/mol of atoms. The volume comes out at 171 Å³/f.u. Its total DFT energy (no corrections) is -70.590 eV per cell.

=====

(6)
DFT (PBE-GGA) results for a relaxed structure of ZrGe3Sb.

Structure (POSCAR):
```
ZrGe3Sb
1.0
-2.7348 -4.3778 0.2817
3.9784 -2.3352 2.3329
-1.8484 1.4510 4.6045
Sb Ge Zr
1 3 1
Cartesian
0.0000 0.0000 0.0000
1.9892 -1.1676 1.1664
-0.9242 0.7255 2.3022
-1.3674 -2.1889 0.1409
-0.3024 -2.6310 3.6096
```

The energy relative to the lowest polymorph listed for this composition is 531 meV/atom. Its space group is Pm-3m. The calculation puts the raw formation energy at 104.8 kJ/mol of atoms. The volume comes out at 138 Å³/f.u. Its total DFT energy (no corrections) is -21.094 eV per cell.

=====

(7)
DFT (PBE-GGA) results for a relaxed structure of AlTl3Cr2Te6.

Structure (POSCAR):
```
AlTl3Cr2Te6
1.0
-0.6157 -1.4826 -6.9516
3.1407 -4.6700 4.3852
-7.8766 -1.3797 2.2220
Al Tl Cr Te
1 3 2 6
Cartesian
0.0000 0.0000 0.0000
-1.4167 -4.8346 3.6279
-3.9350 -2.6977 -3.9724
-2.6758 -3.7661 -0.1722
1.8886 -3.6076 0.6064
0.6364 -2.5450 -3.1729
-5.0992 -5.3224 -2.0725
0.3783 -4.7180 -1.4518
-0.2525 -2.2098 1.7281
-3.8362 -6.3941 1.7391
-5.7300 -2.8142 1.1074
-1.5155 -1.1382 -2.0836
```

Its space group is C2/m. The calculation puts the raw formation energy at -27.8 kJ/mol of atoms. The volume comes out at 350 Å³/f.u. Its total DFT energy (no corrections) is -52.398 eV per cell.

=====

(8)
DFT (PBE-GGA) results for a relaxed structure of ZrPa2S5.

Structure (POSCAR):
```
ZrPa2S5
1.0
5.3299 0.0000 0.0000
-2.6650 6.1788 0.0000
0.0000 0.0000 12.5090
Zr Pa S
2 4 10
Cartesian
2.6650 3.4773 9.3817
0.0000 2.7014 3.1272
2.6650 4.2939 5.5057
2.6650 4.2939 0.7488
0.0000 1.8849 7.0033
0.0000 1.8849 11.7602
2.6650 5.5545 10.9219
2.6650 5.5545 7.8416
0.0000 4.1445 5.3661
0.0000 4.1445 0.8884
2.6650 2.9609 3.1272
0.0000 3.2179 9.3817
2.6650 2.0343 7.1429
2.6650 2.0343 11.6206
0.0000 0.6243 1.5871
0.0000 0.6243 4.6674
```

The energy relative to the lowest polymorph listed for this composition is 81 meV/atom. Its space group is Cmcm. The calculation puts the raw formation energy at -147.3 kJ/mol of atoms. The volume comes out at 206 Å³/f.u. Its total DFT energy (no corrections) is -120.786 eV per cell.